Material: Ac2Nd7Tm3
Method: DFT, PBE-GGA
State: optimized geometry

```
data_Ac2Nd7Tm3
_chemical_formula_sum 'Ac2 Nd7 Tm3'
_symmetry_space_group_name_H-M 'P 1 2/m 1'
_symmetry_Int_Tables_number 10
_cell_length_a 6.5292
_cell_length_b 3.6445
_cell_length_c 18.0484
_cell_angle_alpha 90.00
_cell_angle_beta 95.96
_cell_angle_gamma 90.00
loop_
_symmetry_equiv_pos_as_xyz
'x,y,z'
'-x,-y,-z'
'-x,y,-z'
'x,-y,z'
loop_
_atom_site_label
_atom_site_type_symbol
_atom_site_fract_x
_atom_site_fract_y
_atom_site_fract_z
Ac1 Ac 0.0628 0.0000 0.1723
Nd1 Nd 0.0000 0.5000 0.5000
Nd2 Nd 0.2317 0.0000 0.6666
Nd3 Nd 0.2621 0.0000 0.9965
Nd4 Nd 0.2819 0.5000 0.3407
Tm1 Tm 0.4494 0.5000 0.8406
Tm2 Tm 0.5000 0.0000 0.5000
```

Energy of formation ... 8.5 kJ per mole of atoms
Total energy ... -4.50 eV/atom



Material: SrHfMn2
Method: DFT, PBE-GGA
State: optimized geometry

```
data_SrHfMn2
_chemical_formula_sum 'Sr4 Hf4 Mn8'
_symmetry_space_group_name_H-M 'I 41/a m d'
_symmetry_Int_Tables_number 141
_cell_length_a 5.1335
_cell_length_b 5.1335
_cell_length_c 17.3994
_cell_angle_alpha 90.00
_cell_angle_beta 90.00
_cell_angle_gamma 90.00
loop_
_symmetry_equiv_pos_as_xyz
'x,y,z'
'-x,-y,-z'
'-y+1/4,x+3/4,z+1/4'
'y+1/4,-x+3/4,-z+1/4'
'-x+1/2,-y,z+1/2'
'x+1/2,y,-z+1/2'
'y+1/4,-x+1/4,z+3/4'
'-y+1/4,x+1/4,-z+3/4'
'x,-y,-z'
'-x,y,z'
'-y+1/4,-x+1/4,-z+3/4'
'y+1/4,x+1/4,z+3/4'
'-x+1/2,y,-z+1/2'
'x+1/2,-y,z+1/2'
'y+1/4,x+3/4,-z+1/4'
'-y+1/4,-x+3/4,z+1/4'
'x+1/2,y+1/2,z+1/2'
'-x+1/2,-y+1/2,-z+1/2'
'-y+3/4,x+1/4,z+3/4'
'y+3/4,-x+1/4,-z+3/4'
'-x,-y+1/2,z'
'x,y+1/2,-z'
'y+3/4,-x+3/4,z+1/4'
'-y+3/4,x+3/4,-z+1/4'
'x+1/2,-y+1/2,-z+1/2'
'-x+1/2,y+1/2,z+1/2'
'-y+3/4,-x+3/4,-z+1/4'
'y+3/4,x+3/4,z+1/4'
'-x,y+1/2,-z'
'x,-y+1/2,z'
'y+3/4,x+1/4,-z+3/4'
'-y+3/4,-x+1/4,z+3/4'
loop_
_atom_site_label
_atom_site_type_symbol
_atom_site_fract_x
_atom_site_fract_y
_atom_site_fract_z
Sr1 Sr 0.0000 0.2500 0.3750
Hf1 Hf 0.0000 0.2500 0.8750
Mn1 Mn 0.0000 0.0000 0.0000
```

Energy of formation ... 86.2 kJ per mole of atoms
Total energy ... -6.60 eV/atom



Which of these has the lowest energy of formation? Ac2Nd7Tm3